Here is an optimized crystal structure of SmHg2Pd8 from Alexandria. Energies are from GGA-PBE.

Excess energy over the best structure of this formula in the dataset: 0.0 kJ/mol of formula units
Formation energy from the elements: -0.357 eV per atom
SG: C2/m
Magnetization: 0.0 μB/f.u.

Cell lengths 4.1925, 6.4528, 7.6304 Å; angles 104.70, 105.95, 90.00 degrees
Sites, in units of the cell vectors:
Sm  0.5000  0.0000  0.0000
Hg  0.2247  0.6485  0.4494
Hg  0.7753  0.3515  0.5506
Pd  0.5908  0.4627  0.1816
Pd  0.3181  0.0883  0.6363
Pd  0.1382  0.1857  0.2764
Pd  0.0424  0.7193  0.0848
Pd  0.8618  0.8143  0.7236
Pd  0.6819  0.9117  0.3637
Pd  0.4092  0.5373  0.8184
Pd  0.9576  0.2807  0.9152